# 1
Sm3Co11B4 after structural relaxation. Source: OQMD, functional PBE.

It has space group P6/mmm (No. 191), with a = 5.0900 Å, b = 5.0900 Å, c = 9.7389 Å, α = 90.00°, β = 90.00° and γ = 120.00°. The inequivalent atoms are Sm at (0.0000, 0.0000, 0.0000), Sm at (0.0000, 0.0000, 0.3411), Co at (0.0000, 0.5000, 0.2034), Co at (0.0000, 0.5000, 0.5000), Co at (0.3333, 0.6667, 0.0000) and B at (0.3333, 0.6667, 0.3501).

The final energy comes out at -124.12 eV per cell.

=====

# 2
CoSn2B after structural relaxation. Source: OQMD, functional PBE.

It has space group F-43m (No. 216), with a = 6.509 Å, b = 6.509 Å, c = 6.509 Å, α = 90.00°, β = 90.00° and γ = 90.00°. The inequivalent atoms are Co at (0.000, 0.000, 0.000), Sn at (0.000, 0.000, 0.500), Sn at (0.250, 0.250, 0.250) and B at (0.250, 0.250, 0.750).

The final energy comes out at -68.29 eV per cell.

=====

# 3
CoSnB2 after structural relaxation. Source: OQMD, functional PBE.

It has space group F-43m (No. 216), with a = 5.766 Å, b = 5.766 Å, c = 5.766 Å, α = 90.00°, β = 90.00° and γ = 90.00°. The inequivalent atoms are Co at (0.000, 0.000, 0.000), Sn at (0.250, 0.250, 0.750), B at (0.000, 0.000, 0.500) and B at (0.250, 0.250, 0.250).

The final energy comes out at -74.40 eV per cell.

=====

# 4
Co21Sn2B6 after structural relaxation. Source: OQMD, functional PBE.

It has space group Fm-3m (No. 225), with a = 10.569 Å, b = 10.569 Å, c = 10.569 Å, α = 90.00°, β = 90.00° and γ = 90.00°. The inequivalent atoms are Co at (0.000, 0.000, 0.000), Co at (0.000, 0.167, 0.167), Co at (0.115, 0.115, 0.385), Sn at (0.250, 0.250, 0.250) and B at (0.000, 0.000, 0.276).

The final energy comes out at -803.86 eV per cell.